# GGA-PBE PrGdGa2Pd4, optimized geometry
data_PrGdGa2Pd4
_chemical_formula_sum 'Pr1 Gd1 Ga2 Pd4'
_space_group_name_H-M_alt 'P -6 m 2'
_space_group_IT_number 187
_space_group_name_Hall 'P -6 2'
_cell_length_a 4.4433
_cell_length_b 4.4433
_cell_length_c 9.2787
_cell_angle_alpha 90.00
_cell_angle_beta 90.00
_cell_angle_gamma 120.00
loop_
_atom_site_label
_atom_site_type_symbol
_atom_site_fract_x
_atom_site_fract_y
_atom_site_fract_z
Pr1 Pr 0.0000 0.0000 0.0000
Gd1 Gd 0.3333 0.6667 0.5000
Ga1 Ga 0.6667 0.3333 0.2558
Pd1 Pd 0.0000 0.0000 0.3335
Pd2 Pd 0.3333 0.6667 0.1793
# - Volume: 159 Å³/f.u.
# - Final energy: -5.38 eV/atom